KAcIn after structural relaxation. Source: Alexandria, functional PBE-GGA.

Properties
For the formation energy, the calculation gives -0.023 eV/atom. For the offset from the most stable computed form, the calculation gives 0 meV per atom.

Cell and atoms, written as CIF:
```
data_KAcIn
_cell_length_a 4.112
_cell_length_b 4.112
_cell_length_c 15.677
_cell_angle_alpha 90.00
_cell_angle_beta 90.00
_cell_angle_gamma 90.00
_space_group_name_H-M_alt 'I 4 m m'
_space_group_IT_number 107
_space_group_name_Hall 'I 4 -2'
loop_
_atom_site_label
_atom_site_type_symbol
_atom_site_fract_x
_atom_site_fract_y
_atom_site_fract_z
_atom_site_occupancy
K1 K 0.000 0.000 0.000 1
Ac1 Ac 0.000 0.000 0.268 1
In1 In 0.000 0.000 0.655 1
```


K4Ac3InO8 after structural relaxation. Source: Alexandria, functional PBE-GGA.

Properties
As for the uncorrected formation energy: -2.245 eV/atom.

Cell and atoms, written as CIF:
```
data_K4Ac3InO8
_cell_length_a 7.4875
_cell_length_b 7.4875
_cell_length_c 19.0391
_cell_angle_alpha 90.00
_cell_angle_beta 90.00
_cell_angle_gamma 120.00
_space_group_name_H-M_alt 'R -3 m'
_space_group_IT_number 166
_space_group_name_Hall '-R 3 2"'
loop_
_atom_site_label
_atom_site_type_symbol
_atom_site_fract_x
_atom_site_fract_y
_atom_site_fract_z
_atom_site_occupancy
K1 K 0.0000 0.0000 0.0000 1
K2 K 0.0000 0.5000 0.0000 1
Ac1 Ac 0.0000 0.5000 0.5000 1
In1 In 0.0000 0.0000 0.5000 1
O1 O 0.0000 0.0000 0.2321 1
O2 O 0.0197 0.5098 0.2316 1
```


K2AcInO4 after structural relaxation. Source: Alexandria, functional PBE-GGA.

Properties
As for the uncorrected formation energy: -1.980 eV/atom.

Cell and atoms, written as CIF:
```
data_K2AcInO4
_cell_length_a 6.174
_cell_length_b 3.658
_cell_length_c 6.670
_cell_angle_alpha 90.00
_cell_angle_beta 108.54
_cell_angle_gamma 90.00
_space_group_name_H-M_alt 'P 1 2/m 1'
_space_group_IT_number 10
loop_
_space_group_symop_operation_xyz
'x,y,z'
'-x,-y,-z'
'-x,y,-z'
'x,-y,z'
loop_
_atom_site_label
_atom_site_type_symbol
_atom_site_fract_x
_atom_site_fract_y
_atom_site_fract_z
_atom_site_occupancy
K1 K 0.000 0.000 0.000 1
K2 K 0.500 0.500 0.000 1
Ac1 Ac 0.000 0.500 0.500 1
In1 In 0.500 0.000 0.500 1
O1 O 0.258 0.000 0.695 1
O2 O 0.288 0.500 0.306 1
```


KAcInO3 after structural relaxation. Source: Alexandria, functional PBE-GGA.

Properties
As for the uncorrected formation energy: -2.033 eV/atom.

Cell and atoms, written as CIF:
```
data_KAcInO3
_cell_length_a 6.814
_cell_length_b 3.656
_cell_length_c 11.195
_cell_angle_alpha 90.00
_cell_angle_beta 103.58
_cell_angle_gamma 90.00
_space_group_name_H-M_alt 'P 1 21/m 1'
_space_group_IT_number 11
loop_
_space_group_symop_operation_xyz
'x,y,z'
'-x,-y,-z'
'-x,y+1/2,-z'
'x,-y+1/2,z'
loop_
_atom_site_label
_atom_site_type_symbol
_atom_site_fract_x
_atom_site_fract_y
_atom_site_fract_z
_atom_site_occupancy
K1 K 0.225 0.250 0.239 1
Ac1 Ac 0.199 0.750 0.624 1
In1 In 0.358 0.250 0.899 1
O1 O 0.049 0.750 0.398 1
O2 O 0.180 0.750 0.855 1
O3 O 0.444 0.250 0.726 1
```


K3Ac3InO8 after structural relaxation. Source: Alexandria, functional PBE-GGA.

Properties
As for the uncorrected formation energy: -2.233 eV/atom.

Cell and atoms, written as CIF:
```
data_K3Ac3InO8
_cell_length_a 7.4693
_cell_length_b 7.4693
_cell_length_c 19.0955
_cell_angle_alpha 90.00
_cell_angle_beta 90.00
_cell_angle_gamma 120.00
_space_group_name_H-M_alt 'R -3 m'
_space_group_IT_number 166
_space_group_name_Hall '-R 3 2"'
loop_
_atom_site_label
_atom_site_type_symbol
_atom_site_fract_x
_atom_site_fract_y
_atom_site_fract_z
_atom_site_occupancy
K1 K 0.0000 0.5000 0.0000 1
Ac1 Ac 0.0000 0.5000 0.5000 1
In1 In 0.0000 0.0000 0.5000 1
O1 O 0.0000 0.0000 0.2320 1
O2 O 0.0275 0.5137 0.2275 1
```


K3Ac2InS6 after structural relaxation. Source: Alexandria, functional PBE-GGA.

Properties
As for the uncorrected formation energy: -1.512 eV/atom.

Cell and atoms, written as CIF:
```
data_K3Ac2InS6
_cell_length_a 7.377
_cell_length_b 12.793
_cell_length_c 7.869
_cell_angle_alpha 90.00
_cell_angle_beta 108.26
_cell_angle_gamma 90.00
_space_group_name_H-M_alt 'C 1 2/m 1'
_space_group_IT_number 12
loop_
_space_group_symop_operation_xyz
'x,y,z'
'-x,-y,-z'
'-x,y,-z'
'x,-y,z'
'x+1/2,y+1/2,z'
'-x+1/2,-y+1/2,-z'
'-x+1/2,y+1/2,-z'
'x+1/2,-y+1/2,z'
loop_
_atom_site_label
_atom_site_type_symbol
_atom_site_fract_x
_atom_site_fract_y
_atom_site_fract_z
_atom_site_occupancy
K1 K 0.000 0.000 0.000 1
K2 K 0.000 0.335 0.000 1
Ac1 Ac 0.000 0.167 0.500 1
In1 In 0.000 0.500 0.500 1
S1 S 0.225 0.345 0.710 1
S2 S 0.238 0.500 0.293 1
```


K2AcInS4 after structural relaxation. Source: Alexandria, functional PBE-GGA.

Properties
As for the uncorrected formation energy: -1.315 eV/atom.

Cell and atoms, written as CIF:
```
data_K2AcInS4
_cell_length_a 8.244
_cell_length_b 8.877
_cell_length_c 12.181
_cell_angle_alpha 90.00
_cell_angle_beta 90.00
_cell_angle_gamma 90.00
_space_group_name_H-M_alt 'I m m a'
_space_group_IT_number 74
_space_group_name_Hall '-I 2b 2'
loop_
_atom_site_label
_atom_site_type_symbol
_atom_site_fract_x
_atom_site_fract_y
_atom_site_fract_z
_atom_site_occupancy
K1 K 0.000 0.000 0.000 1
K2 K 0.250 0.250 0.250 1
Ac1 Ac 0.000 0.000 0.500 1
In1 In 0.250 0.250 0.750 1
S1 S 0.000 0.046 0.746 1
S2 S 0.237 0.250 0.516 1
```


KAcInSe3 after structural relaxation. Source: Alexandria, functional PBE-GGA.

Properties
As for the uncorrected formation energy: -1.246 eV/atom.

Cell and atoms, written as CIF:
```
data_KAcInSe3
_cell_length_a 9.055
_cell_length_b 4.945
_cell_length_c 10.132
_cell_angle_alpha 90.00
_cell_angle_beta 102.28
_cell_angle_gamma 90.00
_space_group_name_H-M_alt 'P 1 21/m 1'
_space_group_IT_number 11
loop_
_space_group_symop_operation_xyz
'x,y,z'
'-x,-y,-z'
'-x,y+1/2,-z'
'x,-y+1/2,z'
loop_
_atom_site_label
_atom_site_type_symbol
_atom_site_fract_x
_atom_site_fract_y
_atom_site_fract_z
_atom_site_occupancy
K1 K 0.189 0.250 0.211 1
Ac1 Ac 0.333 0.750 0.852 1
In1 In 0.117 0.250 0.587 1
Se1 Se 0.106 0.250 0.854 1
Se2 Se 0.205 0.750 0.523 1
Se3 Se 0.451 0.750 0.157 1
```


K2AcInSn2 after structural relaxation. Source: Alexandria, functional PBE-GGA.

Properties
For the formation energy, the calculation gives -0.384 eV/atom.

Cell and atoms, written as CIF:
```
data_K2AcInSn2
_cell_length_a 4.981
_cell_length_b 10.343
_cell_length_c 8.351
_cell_angle_alpha 90.00
_cell_angle_beta 90.00
_cell_angle_gamma 90.00
_space_group_name_H-M_alt 'P m c 21'
_space_group_IT_number 26
loop_
_space_group_symop_operation_xyz
'x,y,z'
'-x,-y,z+1/2'
'-x,y,z'
'x,-y,z+1/2'
loop_
_atom_site_label
_atom_site_type_symbol
_atom_site_fract_x
_atom_site_fract_y
_atom_site_fract_z
_atom_site_occupancy
K1 K 0.000 0.078 0.000 1
K2 K 0.500 0.161 0.318 1
Ac1 Ac 0.500 0.451 0.968 1
In1 In 0.000 0.328 0.631 1
Sn1 Sn 0.000 0.391 0.254 1
Sn2 Sn 0.500 0.185 0.729 1
```


KAcInSn after structural relaxation. Source: Alexandria, functional PBE-GGA.

Properties
For the formation energy, the calculation gives -0.240 eV/atom.

Cell and atoms, written as CIF:
```
data_KAcInSn
_cell_length_a 8.221
_cell_length_b 8.221
_cell_length_c 8.221
_cell_angle_alpha 90.00
_cell_angle_beta 90.00
_cell_angle_gamma 90.00
_space_group_name_H-M_alt 'F -4 3 m'
_space_group_IT_number 216
_space_group_name_Hall 'F -4 2 3'
loop_
_atom_site_label
_atom_site_type_symbol
_atom_site_fract_x
_atom_site_fract_y
_atom_site_fract_z
_atom_site_occupancy
K1 K 0.000 0.000 0.000 1
Ac1 Ac 0.000 0.000 0.500 1
In1 In 0.250 0.250 0.750 1
Sn1 Sn 0.250 0.250 0.250 1
```


KAcInTe3 after structural relaxation. Source: Alexandria, functional PBE-GGA.

Properties
As for the uncorrected formation energy: -0.996 eV/atom.

Cell and atoms, written as CIF:
```
data_KAcInTe3
_cell_length_a 9.358
_cell_length_b 5.245
_cell_length_c 10.657
_cell_angle_alpha 90.00
_cell_angle_beta 103.13
_cell_angle_gamma 90.00
_space_group_name_H-M_alt 'P 1 21/m 1'
_space_group_IT_number 11
loop_
_space_group_symop_operation_xyz
'x,y,z'
'-x,-y,-z'
'-x,y+1/2,-z'
'x,-y+1/2,z'
loop_
_atom_site_label
_atom_site_type_symbol
_atom_site_fract_x
_atom_site_fract_y
_atom_site_fract_z
_atom_site_occupancy
K1 K 0.216 0.250 0.237 1
Ac1 Ac 0.314 0.750 0.863 1
In1 In 0.115 0.250 0.594 1
Te1 Te 0.079 0.250 0.862 1
Te2 Te 0.216 0.750 0.530 1
Te3 Te 0.468 0.750 0.171 1
```


Ac3La12In after structural relaxation. Source: Alexandria, functional PBE-GGA.

Properties
For the formation energy, the calculation gives -0.057 eV/atom.

Cell and atoms, written as CIF:
```
data_Ac3La12In
_cell_length_a 5.277
_cell_length_b 5.277
_cell_length_c 21.165
_cell_angle_alpha 90.00
_cell_angle_beta 90.00
_cell_angle_gamma 90.00
_space_group_name_H-M_alt 'P 4/m m m'
_space_group_IT_number 123
_space_group_name_Hall '-P 4 2'
loop_
_atom_site_label
_atom_site_type_symbol
_atom_site_fract_x
_atom_site_fract_y
_atom_site_fract_z
_atom_site_occupancy
Ac1 Ac 0.000 0.000 0.000 1
Ac2 Ac 0.000 0.000 0.257 1
La1 La 0.000 0.500 0.129 1
La2 La 0.000 0.500 0.383 1
La3 La 0.500 0.500 0.000 1
La4 La 0.500 0.500 0.257 1
La5 La 0.500 0.500 0.500 1
In1 In 0.000 0.000 0.500 1
```